This record from the Alexandria database describes a geometry-optimized DyErSc structure. The functional is GGA-PBE.

- total moment (μB per cell) = 0.00
- symmetry = No. 59
- E_form (eV/atom) = 0.17

Cell lengths 3.356, 3.372, 15.615 Å; angles 90.00, 90.00, 90.00 degrees
Fractional positions:
Dy: 0.250 0.250 0.081
Dy: 0.750 0.750 0.919
Er: 0.250 0.750 0.275
Er: 0.750 0.250 0.725
Sc: 0.250 0.750 0.573
Sc: 0.750 0.250 0.427